# LaSc2Te | the Alexandria database | PBE | optimized geometry
data_LaSc2Te
_chemical_formula_sum 'La1 Sc2 Te1'
_cell_length_a 3.8302
_cell_length_b 5.1002
_cell_length_c 5.4517
_cell_angle_alpha 90.00
_cell_angle_beta 90.00
_cell_angle_gamma 90.00
_symmetry_space_group_name_H-M 'P m m m'
_symmetry_Int_Tables_number 47
loop_
_symmetry_equiv_pos_as_xyz
'x,y,z'
'-x,-y,-z'
'-x,-y,z'
'x,y,-z'
'x,-y,-z'
'-x,y,z'
'-x,y,-z'
'x,-y,z'
loop_
_atom_site_label
_atom_site_type_symbol
_atom_site_fract_x
_atom_site_fract_y
_atom_site_fract_z
_atom_site_occupancy
La1 La 0.0000 0.0000 0.0000 1
Sc1 Sc 0.0000 0.5000 0.5000 1
Sc2 Sc 0.5000 0.5000 0.0000 1
Te1 Te 0.5000 0.0000 0.5000 1
# formation energy without anion corrections	-1.72	eV/f.u.
# VASP energy	-22.46	eV/cell